Run A
This record from the Alexandria database describes crystalline Y4MnIn at its relaxed geometry. The functional is GGA-PBE.

Geometry as CIF:
```
data_Y4MnIn
_symmetry_space_group_name_H-M 'P 1'
_symmetry_Int_Tables_number 1
_symmetry_space_group_name_Hall 'P 1'
_cell_length_a 6.0025
_cell_length_b 7.9100
_cell_length_c 7.9100
_cell_angle_alpha 112.29
_cell_angle_beta 99.72
_cell_angle_gamma 99.72
loop_
_atom_site_label
_atom_site_fract_x
_atom_site_fract_y
_atom_site_fract_z
Y1 0.4519 0.7258 0.0604
In1 0.2500 0.3741 0.6259
Y2 0.9519 0.0604 0.7258
Y3 0.3809 0.7936 0.6369
Y4 0.8809 0.6369 0.7936
Mn1 0.2500 0.9993 0.0007
Y5 0.1191 0.3631 0.2064
In2 0.7500 0.6259 0.3741
Mn2 0.7500 0.0007 0.9993
Y6 0.5481 0.2742 0.9396
Y7 0.0481 0.9396 0.2742
Y8 0.6191 0.2064 0.3631
```

Results
As for the space group: No. 15. As for the crystal system: monoclinic.

=====

Run B
This record from the Alexandria database describes crystalline Y4MnIn at its relaxed geometry. The functional is GGA-PBE.

Geometry as CIF:
```
data_Y4MnIn
_symmetry_space_group_name_H-M 'P 1'
_symmetry_Int_Tables_number 1
_symmetry_space_group_name_Hall 'P 1'
_cell_length_a 6.2788
_cell_length_b 6.2788
_cell_length_c 6.2788
_cell_angle_alpha 60.00
_cell_angle_beta 60.00
_cell_angle_gamma 60.00
loop_
_atom_site_label
_atom_site_fract_x
_atom_site_fract_y
_atom_site_fract_z
Y1 0.8755 0.3748 0.3748
In1 0.7500 0.7500 0.7500
Y2 0.3748 0.3748 0.8755
Mn1 0.0000 0.0000 0.0000
Y3 0.3748 0.3748 0.3748
Y4 0.3748 0.8755 0.3748
```

Results
As for the space group: No. 216. As for the crystal system: cubic.

=====

Most stable structure: run A

=====

Run A
This record from the Alexandria database describes crystalline Zr3MnIn at its relaxed geometry. The functional is GGA-PBE.

Geometry as CIF:
```
data_Zr3MnIn
_symmetry_space_group_name_H-M 'P 1'
_symmetry_Int_Tables_number 1
_symmetry_space_group_name_Hall 'P 1'
_cell_length_a 5.2235
_cell_length_b 5.2235
_cell_length_c 5.2235
_cell_angle_alpha 90.00
_cell_angle_beta 90.00
_cell_angle_gamma 90.00
loop_
_atom_site_label
_atom_site_fract_x
_atom_site_fract_y
_atom_site_fract_z
Zr1 0.0000 0.5000 0.0000
In1 0.0000 0.0000 0.0000
Zr2 0.0000 0.0000 0.5000
Zr3 0.5000 0.0000 0.0000
Mn1 0.5000 0.5000 0.5000
```

Results
As for the space group: No. 221. As for the crystal system: cubic.

=====

Run B
This record from the Alexandria database describes crystalline Zr3MnIn at its relaxed geometry. The functional is GGA-PBE.

Geometry as CIF:
```
data_Zr3MnIn
_symmetry_space_group_name_H-M 'P 1'
_symmetry_Int_Tables_number 1
_symmetry_space_group_name_Hall 'P 1'
_cell_length_a 4.8410
_cell_length_b 4.8410
_cell_length_c 4.8410
_cell_angle_alpha 90.00
_cell_angle_beta 90.00
_cell_angle_gamma 90.00
loop_
_atom_site_label
_atom_site_fract_x
_atom_site_fract_y
_atom_site_fract_z
Zr1 0.0000 0.5000 0.0000
Zr2 0.0000 0.0000 0.5000
Zr3 0.5000 0.0000 0.0000
Mn1 0.0000 0.0000 0.0000
In1 0.5000 0.5000 0.5000
```

Results
As for the space group: No. 221. As for the crystal system: cubic.

=====

Most stable structure: run B

=====

Run A
This record from the Alexandria database describes crystalline ZrMn3In at its relaxed geometry. The functional is GGA-PBE.

Geometry as CIF:
```
data_ZrMn3In
_symmetry_space_group_name_H-M 'P 1'
_symmetry_Int_Tables_number 1
_symmetry_space_group_name_Hall 'P 1'
_cell_length_a 4.8080
_cell_length_b 4.8080
_cell_length_c 4.8080
_cell_angle_alpha 90.00
_cell_angle_beta 90.00
_cell_angle_gamma 90.00
loop_
_atom_site_label
_atom_site_fract_x
_atom_site_fract_y
_atom_site_fract_z
Mn1 0.0000 0.5000 0.0000
In1 0.5000 0.5000 0.5000
Mn2 0.5000 0.0000 0.0000
Mn3 0.0000 0.0000 0.5000
Zr1 0.0000 0.0000 0.0000
```

Results
As for the space group: No. 221. As for the crystal system: cubic.

=====

Run B
This record from the Alexandria database describes crystalline ZrMn3In at its relaxed geometry. The functional is GGA-PBE.

Geometry as CIF:
```
data_ZrMn3In
_symmetry_space_group_name_H-M 'P 1'
_symmetry_Int_Tables_number 1
_symmetry_space_group_name_Hall 'P 1'
_cell_length_a 4.8692
_cell_length_b 4.8692
_cell_length_c 4.8692
_cell_angle_alpha 90.00
_cell_angle_beta 90.00
_cell_angle_gamma 90.00
loop_
_atom_site_label
_atom_site_fract_x
_atom_site_fract_y
_atom_site_fract_z
Zr1 0.5000 0.5000 0.5000
In1 0.0000 0.0000 0.0000
Mn1 0.0000 0.0000 0.5000
Mn2 0.5000 0.0000 0.0000
Mn3 0.0000 0.5000 0.0000
```

Results
As for the space group: No. 221. As for the crystal system: cubic.

=====

Most stable structure: run B

=====

Run A
This record from the Alexandria database describes crystalline InMo2 at its relaxed geometry. The functional is GGA-PBE.

Geometry as CIF:
```
data_InMo2
_symmetry_space_group_name_H-M 'P 1'
_symmetry_Int_Tables_number 1
_symmetry_space_group_name_Hall 'P 1'
_cell_length_a 4.6921
_cell_length_b 4.6921
_cell_length_c 5.4924
_cell_angle_alpha 90.00
_cell_angle_beta 90.00
_cell_angle_gamma 120.00
loop_
_atom_site_label
_atom_site_fract_x
_atom_site_fract_y
_atom_site_fract_z
Mo1 0.6667 0.3333 0.2500
Mo2 0.3333 0.6667 0.7500
Mo3 0.0000 0.0000 0.5000
In1 0.3333 0.6667 0.2500
Mo4 0.0000 0.0000 0.0000
In2 0.6667 0.3333 0.7500
```

Results
As for the space group: No. 194. As for the crystal system: hexagonal.

=====

Run B
This record from the Alexandria database describes crystalline InMo2 at its relaxed geometry. The functional is GGA-PBE.

Geometry as CIF:
```
data_InMo2
_symmetry_space_group_name_H-M 'P 1'
_symmetry_Int_Tables_number 1
_symmetry_space_group_name_Hall 'P 1'
_cell_length_a 4.6559
_cell_length_b 4.6559
_cell_length_c 5.7386
_cell_angle_alpha 90.00
_cell_angle_beta 90.00
_cell_angle_gamma 120.00
loop_
_atom_site_label
_atom_site_fract_x
_atom_site_fract_y
_atom_site_fract_z
Mo1 0.3333 0.6667 0.5274
Mo2 0.6667 0.3333 0.0274
In1 0.0000 0.0000 0.7500
Mo3 0.3333 0.6667 0.9726
In2 0.0000 0.0000 0.2500
Mo4 0.6667 0.3333 0.4726
```

Results
As for the space group: No. 194. As for the crystal system: hexagonal.

=====

Run C
This record from the Alexandria database describes crystalline InMo2 at its relaxed geometry. The functional is GGA-PBE.

Geometry as CIF:
```
data_InMo2
_symmetry_space_group_name_H-M 'P 1'
_symmetry_Int_Tables_number 1
_symmetry_space_group_name_Hall 'P 1'
_cell_length_a 7.3051
_cell_length_b 7.0874
_cell_length_c 2.8904
_cell_angle_alpha 82.68
_cell_angle_beta 74.21
_cell_angle_gamma 23.11
loop_
_atom_site_label
_atom_site_fract_x
_atom_site_fract_y
_atom_site_fract_z
Mo1 0.3239 0.3239 0.6761
In1 0.0000 0.0000 0.0000
Mo2 0.6761 0.6761 0.3239
```

Results
As for the space group: No. 69. As for the crystal system: orthorhombic.

=====

Most stable structure: run C

=====

Run A
This record from the Alexandria database describes crystalline InMo4 at its relaxed geometry. The functional is GGA-PBE.

Geometry as CIF:
```
data_InMo4
_symmetry_space_group_name_H-M 'P 1'
_symmetry_Int_Tables_number 1
_symmetry_space_group_name_Hall 'P 1'
_cell_length_a 5.1394
_cell_length_b 5.1394
_cell_length_c 5.1394
_cell_angle_alpha 109.47
_cell_angle_beta 109.47
_cell_angle_gamma 109.47
loop_
_atom_site_label
_atom_site_fract_x
_atom_site_fract_y
_atom_site_fract_z
Mo1 0.5000 0.0000 0.0000
In1 0.0000 0.0000 0.0000
Mo2 0.5000 0.5000 0.5000
Mo3 0.0000 0.0000 0.5000
Mo4 0.0000 0.5000 0.0000
```

Results
As for the space group: No. 229. As for the crystal system: cubic.

=====

Run B
This record from the Alexandria database describes crystalline InMo4 at its relaxed geometry. The functional is GGA-PBE.

Geometry as CIF:
```
data_InMo4
_symmetry_space_group_name_H-M 'P 1'
_symmetry_Int_Tables_number 1
_symmetry_space_group_name_Hall 'P 1'
_cell_length_a 4.8013
_cell_length_b 4.8013
_cell_length_c 4.8013
_cell_angle_alpha 90.00
_cell_angle_beta 90.00
_cell_angle_gamma 90.00
loop_
_atom_site_label
_atom_site_fract_x
_atom_site_fract_y
_atom_site_fract_z
Mo1 0.0000 0.0000 0.0000
Mo2 0.5000 0.5000 0.0000
Mo3 0.0000 0.5000 0.5000
Mo4 0.5000 0.0000 0.5000
In1 0.5000 0.5000 0.5000
```

Results
As for the space group: No. 221. As for the crystal system: cubic.

=====

Most stable structure: run A

=====

Run A
This record from the Alexandria database describes crystalline InMo4 at its relaxed geometry. The functional is GGA-PBE.

Geometry as CIF:
```
data_InMo4
_symmetry_space_group_name_H-M 'P 1'
_symmetry_Int_Tables_number 1
_symmetry_space_group_name_Hall 'P 1'
_cell_length_a 6.2031
_cell_length_b 6.2031
_cell_length_c 6.2031
_cell_angle_alpha 140.00
_cell_angle_beta 140.00
_cell_angle_gamma 57.85
loop_
_atom_site_label
_atom_site_fract_x
_atom_site_fract_y
_atom_site_fract_z
Mo1 0.7500 0.2500 0.5000
Mo2 0.2500 0.7500 0.5000
Mo3 0.6185 0.6185 0.0000
Mo4 0.3815 0.3815 0.0000
In1 0.0000 0.0000 0.0000
```

Results
As for the space group: No. 139. As for the crystal system: tetragonal.

=====

Run B
This record from the Alexandria database describes crystalline InMo4 at its relaxed geometry. The functional is GGA-PBE.

Geometry as CIF:
```
data_InMo4
_symmetry_space_group_name_H-M 'P 1'
_symmetry_Int_Tables_number 1
_symmetry_space_group_name_Hall 'P 1'
_cell_length_a 4.8847
_cell_length_b 4.8847
_cell_length_c 4.8847
_cell_angle_alpha 102.23
_cell_angle_beta 102.23
_cell_angle_gamma 125.19
loop_
_atom_site_label
_atom_site_fract_x
_atom_site_fract_y
_atom_site_fract_z
Mo1 0.7996 0.4233 0.2228
Mo2 0.4233 0.2004 0.6237
Mo3 0.5767 0.7996 0.3763
Mo4 0.2004 0.5767 0.7772
In1 0.0000 0.0000 0.0000
```

Results
As for the space group: No. 87. As for the crystal system: tetragonal.

=====

Most stable structure: run B